This record from Alexandria describes a relaxed structure of MnSi2Os. The functional is PBE.

Cell: 7.5572 7.5572 7.5572 Å, 21.47 21.47 21.47°
Sites, in units of the cell vectors:
1 Mn 0.0000 0.0000 0.0000
2 Si 0.4150 0.4150 0.4150
3 Si 0.5894 0.5894 0.5894
4 Os 0.8378 0.8378 0.8378

Results
Density = 9.88 g/cm3
Formation energy (no corrections) = -219 meV per atom